Here is a geometry-optimized LiY2W structure from Alexandria via LeMat-Bulk. Energies are from PBE-GGA.

Properties
Magnetic moment in μB/atom: 0.00
Formation energy in meV per atom: 630
E_tot in eV per atom: -6.319
Space group: P2/m, No. 10

Unit cell a=5.3748 b=3.0746 c=6.0516 alpha=90.00 beta=112.97 gamma=90.00
With the nearest neighbours (Å) after each atom.
Fractional positions:
Li (0.0000, 0.0000, 0.0000)  6 Y 3.03-3.10, 2 Li 3.07
Y (0.0000, 0.0000, 0.5000)  2 Li 3.03, 2 Y 3.07, 4 W 3.10
Y (0.5000, 0.5000, 0.0000)  2 W 3.03, 2 Y 3.07, 4 Li 3.10
W (0.5000, 0.5000, 0.5000)  6 Y 3.03-3.10, 2 W 3.07